[1]
VASP calculation (PBE) on a geometry-optimized Ho2LuZr structure.

## Properties
As for the electronic total energy: -5.48 eV/atom. As for the magnetic moment: 0.00 μB/atom. The calculation puts the volume at 27.96 Å³/atom. Its calculated formation energy is 80 meV/atom. Its polymorph energy (0 for the lowest one) is 0 meV/atom.

Unit cell a=4.806 b=4.824 c=4.824 alpha=90.00 beta=90.00 gamma=90.00
Fractional positions:
Ho1 0.000 0.000 0.500
Lu1 0.500 0.500 0.500
Ho2 0.000 0.500 0.000
Zr1 0.500 0.000 0.000

[2]
VASP calculation (PBE) on a geometry-optimized Ho2LuZr structure.

## Properties
As for the electronic total energy: -5.28 eV/atom. As for the magnetic moment: 0.00 μB/atom. The calculation puts the volume at 28.37 Å³/atom. Its calculated formation energy is 281 meV/atom. Its polymorph energy (0 for the lowest one) is 200 meV/atom.

Unit cell a=3.326 b=3.326 c=11.996 alpha=82.03 beta=82.03 gamma=60.00
Fractional positions:
Lu1 0.500 0.500 0.500
Ho1 0.913 0.913 0.262
Zr1 0.000 0.000 0.000
Ho2 0.087 0.087 0.738

[3]
VASP calculation (PBE) on a geometry-optimized HoLuZr structure.

## Properties
As for the electronic total energy: -5.82 eV/atom. As for the magnetic moment: 0.00 μB/atom. The calculation puts the volume at 27.51 Å³/atom. Its calculated formation energy is 63 meV/atom. Its polymorph energy (0 for the lowest one) is 0 meV/atom.

Unit cell a=3.377 b=3.377 c=7.623 alpha=102.80 beta=102.80 gamma=90.00
Fractional positions:
Zr1 0.332 0.332 0.664
Ho1 0.991 0.991 0.981
Lu1 0.677 0.677 0.355

[4]
VASP calculation (PBE) on a geometry-optimized HoLuZr2 structure.

## Properties
As for the electronic total energy: -6.34 eV/atom. As for the magnetic moment: 0.00 μB/atom. The calculation puts the volume at 25.93 Å³/atom. Its calculated formation energy is 209 meV/atom. Its polymorph energy (0 for the lowest one) is 115 meV/atom.

Unit cell a=3.932 b=3.932 c=6.708 alpha=90.00 beta=90.00 gamma=90.00
Fractional positions:
Zr1 0.000 0.000 0.256
Ho1 0.500 0.500 0.500
Lu1 0.500 0.500 0.000
Zr2 0.000 0.000 0.744